<one>
Computed, not measured: a relaxed Pm4PrNd7 crystal at the GGA-PBE level of DFT.

Computed properties:
Density   6.8 g/cm3
Total moment   0.000 μB/atom

Cell and atoms, written as POSCAR:
```
Pm4PrNd7
1.0
7.082 1.935 0.867
5.264 7.874 2.476
-0.984 -0.446 9.102
Pm Pr Nd
4 1 7
direct
0.530 0.721 0.333
0.470 0.279 0.667
0.720 0.780 0.667
0.280 0.220 0.333
0.000 0.000 0.000
0.751 0.500 0.000
0.249 0.500 0.000
0.971 0.280 0.667
0.029 0.720 0.333
0.221 0.779 0.667
0.500 0.000 0.000
0.779 0.221 0.333
```

---

<two>
Computed, not measured: a relaxed Pm4PrNd7 crystal at the GGA-PBE level of DFT.

Computed properties:
Density   6.7 g/cm3
Total moment   0.040 μB/atom

Cell and atoms, written as POSCAR:
```
Pm4PrNd7
1.0
-0.097 5.936 -1.481
-3.667 5.027 7.747
5.457 4.524 5.134
Pm Pr Nd
4 1 7
direct
0.573 0.302 0.551
0.427 0.698 0.449
0.672 0.612 0.044
0.328 0.388 0.956
0.000 0.000 0.000
0.787 0.879 0.547
0.213 0.121 0.453
0.083 0.557 0.277
0.917 0.443 0.723
0.209 0.771 0.810
0.500 0.000 0.000
0.791 0.229 0.190
```

---

Which structure is the least stable? The one labeled <two>.

---

<one>
Computed, not measured: a relaxed Pm2Pr4Nd3 crystal at the GGA-PBE level of DFT.

Computed properties:
Density   6.7 g/cm3
Total moment   0.000 μB/atom

Cell and atoms, written as POSCAR:
```
Pm2Pr4Nd3
1.0
5.946 0.000 0.000
-2.973 5.471 -8.282
0.000 -2.226 13.191
Pm Pr Nd
2 4 3
direct
0.264 0.527 0.828
0.736 0.473 0.172
0.278 0.557 0.598
0.722 0.443 0.402
0.140 0.281 0.911
0.860 0.719 0.089
0.430 0.859 0.542
0.000 0.000 0.000
0.570 0.141 0.458
```

---

<two>
Computed, not measured: a relaxed Pm2Pr4Nd3 crystal at the GGA-PBE level of DFT.

Computed properties:
Density   6.6 g/cm3
Total moment   0.000 μB/atom

Cell and atoms, written as POSCAR:
```
Pm2Pr4Nd3
1.0
3.682 0.000 0.000
-1.841 3.189 0.000
0.000 0.000 27.578
Pm Pr Nd
2 4 3
direct
0.667 0.333 0.088
0.667 0.333 0.873
0.000 0.000 0.544
0.667 0.333 0.433
0.667 0.333 0.215
0.000 0.000 0.765
0.000 0.000 0.984
0.000 0.000 0.321
0.667 0.333 0.654
```

---

Which structure is the least stable? The one labeled <one>.

---

<one>
Computed, not measured: a relaxed PmPr5Nd4 crystal at the GGA-PBE level of DFT.

Computed properties:
Density   6.7 g/cm3
Total moment   0.000 μB/atom

Cell and atoms, written as POSCAR:
```
PmPr5Nd4
1.0
6.092 0.000 0.000
0.000 10.759 0.000
0.000 0.000 10.760
Pm Pr Nd
2 10 8
direct
0.668 0.000 0.000
0.332 0.500 0.500
0.163 0.839 0.839
0.163 0.161 0.839
0.000 0.500 0.000
0.163 0.839 0.161
0.163 0.161 0.161
0.837 0.661 0.339
0.837 0.339 0.339
0.000 0.000 0.500
0.837 0.339 0.661
0.837 0.661 0.661
0.631 0.000 0.703
0.631 0.703 0.000
0.631 0.297 0.000
0.631 0.000 0.297
0.369 0.500 0.203
0.369 0.797 0.500
0.369 0.203 0.500
0.369 0.500 0.797
```

---

<two>
Computed, not measured: a relaxed PmPr5Nd4 crystal at the GGA-PBE level of DFT.

Computed properties:
Density   6.6 g/cm3
Total moment   0.000 μB/atom

Cell and atoms, written as POSCAR:
```
PmPr5Nd4
1.0
-1.222 0.290 -3.317
1.509 -6.761 -1.146
-12.987 -2.105 6.495
Pm Pr Nd
1 5 4
direct
0.500 0.000 0.000
0.201 0.599 0.402
0.205 0.103 0.411
0.795 0.897 0.589
0.500 0.500 0.000
0.799 0.401 0.598
0.607 0.809 0.214
0.906 0.702 0.812
0.393 0.191 0.786
0.094 0.298 0.188
```

---

Which structure is the least stable? The one labeled <one>.

---

<one>
Computed, not measured: a relaxed Pm7Pr4Nd crystal at the GGA-PBE level of DFT.

Computed properties:
Density   6.8 g/cm3
Total moment   0.000 μB/atom

Cell and atoms, written as POSCAR:
```
Pm7Pr4Nd
1.0
6.591 -1.886 2.799
0.733 5.943 2.277
2.915 -2.337 11.173
Pm Pr Nd
7 4 1
direct
0.752 0.500 0.999
0.248 0.500 0.001
0.083 0.277 0.669
0.917 0.723 0.331
0.331 0.778 0.669
0.500 0.000 0.000
0.669 0.222 0.331
0.419 0.722 0.332
0.581 0.278 0.668
0.831 0.777 0.669
0.169 0.223 0.331
0.000 0.000 0.000
```

---

<two>
Computed, not measured: a relaxed Pm7Pr4Nd crystal at the GGA-PBE level of DFT.

Computed properties:
Density   6.7 g/cm3
Total moment   0.037 μB/atom

Cell and atoms, written as POSCAR:
```
Pm7Pr4Nd
1.0
-0.259 4.862 -3.685
-6.454 6.451 3.905
2.993 7.146 4.158
Pm Pr Nd
7 4 1
direct
0.787 0.878 0.549
0.213 0.122 0.451
0.082 0.561 0.276
0.918 0.439 0.724
0.208 0.775 0.810
0.500 0.000 0.000
0.792 0.225 0.190
0.575 0.300 0.550
0.425 0.700 0.450
0.673 0.612 0.042
0.327 0.388 0.958
0.000 0.000 0.000
```

---

Which structure is the least stable? The one labeled <two>.

---

<one>
Computed, not measured: a relaxed Pm2Pr5Nd4 crystal at the GGA-PBE level of DFT.

Computed properties:
Density   6.6 g/cm3
Total moment   0.000 μB/atom

Cell and atoms, written as POSCAR:
```
Pm2Pr5Nd4
1.0
1.779 12.281 -0.368
-1.779 12.281 -0.368
0.000 1.363 8.956
Pm Pr Nd
2 5 4
direct
0.091 0.091 0.268
0.909 0.909 0.732
0.859 0.859 0.115
0.141 0.141 0.885
0.769 0.769 0.824
0.500 0.500 0.000
0.231 0.231 0.176
0.323 0.323 0.470
0.954 0.954 0.361
0.677 0.677 0.530
0.046 0.046 0.639
```

---

<two>
Computed, not measured: a relaxed Pm2Pr5Nd4 crystal at the GGA-PBE level of DFT.

Computed properties:
Density   6.4 g/cm3
Total moment   0.000 μB/atom

Cell and atoms, written as POSCAR:
```
Pm2Pr5Nd4
1.0
3.588 0.000 0.000
0.000 9.533 0.000
-1.794 -4.767 11.833
Pm Pr Nd
2 5 4
direct
0.270 0.270 0.540
0.730 0.730 0.460
0.852 0.052 0.704
0.852 0.651 0.704
0.148 0.349 0.296
0.148 0.948 0.296
0.500 0.000 0.000
0.000 0.300 0.000
0.595 0.595 0.191
0.000 0.700 0.000
0.405 0.405 0.809
```

---

Which structure is the least stable? The one labeled <two>.

---

<one>
Computed, not measured: a relaxed Pm3Pr6Nd crystal at the GGA-PBE level of DFT.

Computed properties:
Density   6.6 g/cm3
Total moment   0.000 μB/atom

Cell and atoms, written as POSCAR:
```
Pm3Pr6Nd
1.0
-2.777 -5.051 3.085
7.505 0.965 8.336
-9.761 5.596 0.376
Pm Pr Nd
6 12 2
direct
0.461 0.942 0.706
0.961 0.706 0.942
0.091 0.382 0.618
0.591 0.618 0.382
0.961 0.058 0.294
0.461 0.294 0.058
0.056 0.710 0.630
0.556 0.630 0.710
0.375 0.527 0.943
0.875 0.943 0.527
0.356 0.966 0.034
0.649 0.282 0.718
0.149 0.718 0.282
0.856 0.034 0.966
0.375 0.057 0.473
0.875 0.473 0.057
0.056 0.370 0.290
0.556 0.290 0.370
0.105 0.189 0.811
0.605 0.811 0.189
```

---

<two>
Computed, not measured: a relaxed Pm3Pr6Nd crystal at the GGA-PBE level of DFT.

Computed properties:
Density   6.6 g/cm3
Total moment   0.000 μB/atom

Cell and atoms, written as POSCAR:
```
Pm3Pr6Nd
1.0
-9.833 1.321 2.209
-4.626 -6.259 6.536
-3.810 0.783 5.956
Pm Pr Nd
3 6 1
direct
0.400 0.400 0.800
0.649 0.649 0.052
0.151 0.151 0.548
0.900 0.574 0.300
0.226 0.900 0.300
0.574 0.226 0.300
0.074 0.400 0.800
0.726 0.074 0.800
0.400 0.726 0.800
0.900 0.900 0.300
```

---

Which structure is the least stable? The one labeled <two>.

---

<one>
Computed, not measured: a relaxed Pm3Pr8Nd2 crystal at the GGA-PBE level of DFT.

Computed properties:
Density   6.6 g/cm3
Total moment   0.000 μB/atom

Cell and atoms, written as POSCAR:
```
Pm3Pr8Nd2
1.0
-3.400 0.266 5.306
-4.801 -10.727 -2.539
5.509 2.707 6.616
Pm Pr Nd
3 8 2
direct
0.500 0.000 0.000
0.000 0.245 0.000
0.000 0.755 0.000
0.782 0.448 0.895
0.218 0.552 0.105
0.056 0.849 0.698
0.944 0.151 0.302
0.329 0.914 0.342
0.329 0.427 0.342
0.671 0.573 0.658
0.671 0.086 0.658
0.657 0.714 0.427
0.343 0.286 0.573
```

---

<two>
Computed, not measured: a relaxed Pm3Pr8Nd2 crystal at the GGA-PBE level of DFT.

Computed properties:
Density   6.4 g/cm3
Total moment   0.000 μB/atom

Cell and atoms, written as POSCAR:
```
Pm3Pr8Nd2
1.0
5.802 0.000 0.771
0.000 7.782 0.000
-1.384 -3.891 10.376
Pm Pr Nd
3 8 2
direct
0.500 0.000 0.000
0.000 0.286 0.000
0.000 0.714 0.000
0.001 0.672 0.344
0.999 0.328 0.656
0.000 0.133 0.266
0.000 0.867 0.734
0.500 0.602 0.790
0.500 0.188 0.790
0.500 0.812 0.210
0.500 0.398 0.210
0.499 0.241 0.483
0.501 0.759 0.517
```

---

Which structure is the least stable? The one labeled <two>.

---

<one>
Computed, not measured: a relaxed Pm2Pr4Nd5 crystal at the GGA-PBE level of DFT.

Computed properties:
Density   6.7 g/cm3
Total moment   0.000 μB/atom

Cell and atoms, written as POSCAR:
```
Pm2Pr4Nd5
1.0
3.498 0.000 -0.533
-0.206 8.948 -1.354
0.105 0.406 12.432
Pm Pr Nd
2 4 5
direct
0.910 0.267 0.820
0.090 0.733 0.180
0.678 0.471 0.357
0.046 0.361 0.092
0.322 0.529 0.643
0.954 0.639 0.908
0.141 0.114 0.282
0.859 0.886 0.718
0.231 0.825 0.462
0.500 0.000 0.000
0.769 0.175 0.538
```

---

<two>
Computed, not measured: a relaxed Pm2Pr4Nd5 crystal at the GGA-PBE level of DFT.

Computed properties:
Density   6.5 g/cm3
Total moment   0.000 μB/atom

Cell and atoms, written as POSCAR:
```
Pm2Pr4Nd5
1.0
-1.903 0.535 -2.991
1.409 -9.086 -2.522
-9.599 1.163 8.465
Pm Pr Nd
2 4 5
direct
0.270 0.270 0.540
0.730 0.730 0.460
0.000 0.297 0.000
0.596 0.596 0.191
0.000 0.703 0.000
0.404 0.404 0.809
0.852 0.051 0.704
0.852 0.652 0.704
0.148 0.348 0.296
0.148 0.949 0.296
0.500 0.000 0.000
```

---

Which structure is the least stable? The one labeled <two>.

---

<one>
Computed, not measured: a relaxed Pm9Pr2Nd crystal at the GGA-PBE level of DFT.

Computed properties:
Density   6.9 g/cm3
Total moment   0.000 μB/atom

Cell and atoms, written as POSCAR:
```
Pm9Pr2Nd
1.0
5.177 0.000 0.000
0.000 5.177 0.000
0.000 0.000 15.533
Pm Pr Nd
9 2 1
direct
0.500 0.500 0.000
0.500 0.500 0.333
0.500 0.500 0.667
0.500 0.000 0.166
0.500 0.000 0.500
0.500 0.000 0.834
0.000 0.500 0.166
0.000 0.500 0.500
0.000 0.500 0.834
0.000 0.000 0.333
0.000 0.000 0.667
0.000 0.000 0.000
```

---

<two>
Computed, not measured: a relaxed Pm9Pr2Nd crystal at the GGA-PBE level of DFT.

Computed properties:
Density   6.9 g/cm3
Total moment   0.000 μB/atom

Cell and atoms, written as POSCAR:
```
Pm9Pr2Nd
1.0
-2.441 2.591 0.333
-6.854 -5.486 -7.563
-0.877 -2.282 11.327
Pm Pr Nd
9 2 1
direct
0.000 0.000 0.500
0.000 0.500 0.500
0.000 0.500 0.000
0.500 0.346 0.173
0.500 0.173 0.827
0.500 0.173 0.346
0.500 0.827 0.654
0.500 0.827 0.173
0.500 0.654 0.827
0.000 0.333 0.667
0.000 0.667 0.333
0.000 0.000 0.000
```

---

Which structure is the least stable? The one labeled <two>.

---

<one>
Computed, not measured: a relaxed Pm3Pr4Nd4 crystal at the GGA-PBE level of DFT.

Computed properties:
Density   6.7 g/cm3
Total moment   0.000 μB/atom

Cell and atoms, written as POSCAR:
```
Pm3Pr4Nd4
1.0
3.714 0.286 -0.176
-1.080 10.412 -5.861
1.631 -0.836 10.493
Pm Pr Nd
3 4 4
direct
0.751 0.899 0.798
0.249 0.101 0.202
0.000 0.500 0.000
0.816 0.415 0.331
0.184 0.084 0.669
0.184 0.585 0.669
0.816 0.916 0.331
0.670 0.295 0.590
0.330 0.705 0.410
0.500 0.752 0.000
0.500 0.248 0.000
```

---

<two>
Computed, not measured: a relaxed Pm3Pr4Nd4 crystal at the GGA-PBE level of DFT.

Computed properties:
Density   6.7 g/cm3
Total moment   0.000 μB/atom

Cell and atoms, written as POSCAR:
```
Pm3Pr4Nd4
1.0
-2.587 2.075 1.400
-2.319 0.700 -5.319
-12.980 -13.540 0.719
Pm Pr Nd
3 4 4
direct
0.137 0.637 0.727
0.863 0.363 0.273
0.000 0.000 0.000
0.591 0.092 0.818
0.268 0.268 0.464
0.732 0.732 0.536
0.409 0.908 0.182
0.546 0.547 0.909
0.454 0.453 0.091
0.319 0.818 0.362
0.681 0.182 0.638
```

---

Which structure is the least stable? The one labeled <one>.